[1]
ReO2: optimized geometry, PBE.

Values from the calculation:
The uncorrected energy is -8.263 eV/atom. The space-group type is No. 10.

Geometry as POSCAR:
```
ReO2
1.0
2.8704 0.0000 0.0000
0.0000 2.7005 0.0000
-0.8704 0.0000 5.0728
Re O
1 2
direct
0.0000 0.0000 0.0000
0.4244 0.0000 0.7470
0.5756 0.0000 0.2530
```

***

[2]
Re2O: optimized geometry, PBE.

Values from the calculation:
The uncorrected energy is -8.211 eV/atom. The space-group type is No. 227.

Geometry as POSCAR:
```
Re2O
1.0
0.0000 3.5812 3.5812
3.5812 0.0000 3.5812
3.5812 3.5812 0.0000
Re O
4 2
direct
0.0000 0.0000 0.0000
0.0000 0.0000 0.5000
0.0000 0.5000 0.0000
0.5000 0.0000 0.0000
0.3750 0.3750 0.3750
0.6250 0.6250 0.6250
```

***

Number 1: total magnetic moment 0.01 μB/f.u.. Number 2: total magnetic moment 0.00 μB/f.u..